Record 1
# KLiCrBr6 PBE relaxed
# Magnetization = 1.88 Bohr magnetons per cell
# D(E_F) = 9.70 states/eV per cell
# Formation energy from raw total energies = -1.009 eV/atom
data_KLiCrBr6
_chemical_formula_sum 'K1 Li1 Cr1 Br6'
_space_group_name_H-M_alt 'P 3 1 2'
_space_group_IT_number 149
_cell_length_a 6.7895
_cell_length_b 6.7895
_cell_length_c 7.2865
_cell_angle_alpha 90.00
_cell_angle_beta 90.00
_cell_angle_gamma 120.00
loop_
_space_group_symop_operation_xyz
'x,y,z'
'-y,x-y,z'
'-x+y,-x,z'
'-y,-x,-z'
'-x+y,y,-z'
'x,x-y,-z'
loop_
_atom_site_label
_atom_site_fract_x
_atom_site_fract_y
_atom_site_fract_z
_atom_site_occupancy
K1 0.0000 0.0000 0.0000 1
Li1 0.3333 0.6667 0.5000 1
Cr1 0.6667 0.3333 0.5000 1
Br1 0.3814 0.0234 0.6982 1



Record 2
# K2CrBrN PBE relaxed
# Magnetization = 3.72 Bohr magnetons per cell
# D(E_F) = 4.19 states/eV per cell
# Formation energy from raw total energies = 0.825 eV/atom
data_K2CrBrN
_chemical_formula_sum 'K2 Cr1 Br1 N1'
_space_group_name_H-M_alt 'P 4/m m m'
_space_group_IT_number 123
_space_group_name_Hall '-P 4 2'
_cell_length_a 6.157
_cell_length_b 6.157
_cell_length_c 5.124
_cell_angle_alpha 90.00
_cell_angle_beta 90.00
_cell_angle_gamma 90.00
loop_
_atom_site_label
_atom_site_fract_x
_atom_site_fract_y
_atom_site_fract_z
_atom_site_occupancy
K1 0.000 0.500 0.000 1
Cr1 0.000 0.000 0.500 1
Br1 0.000 0.000 0.000 1
N1 0.500 0.500 0.500 1



Record 3
# KNbCr2Br PBE relaxed
# Magnetization = 0.00 Bohr magnetons per cell
# D(E_F) = 12.03 states/eV per cell
# Formation energy from raw total energies = 3.073 eV/atom
data_KNbCr2Br
_chemical_formula_sum 'K1 Nb1 Cr2 Br1'
_space_group_name_H-M_alt 'P 4/m m m'
_space_group_IT_number 123
_space_group_name_Hall '-P 4 2'
_cell_length_a 4.300
_cell_length_b 4.300
_cell_length_c 5.118
_cell_angle_alpha 90.00
_cell_angle_beta 90.00
_cell_angle_gamma 90.00
loop_
_atom_site_label
_atom_site_fract_x
_atom_site_fract_y
_atom_site_fract_z
_atom_site_occupancy
K1 0.000 0.000 0.000 1
Nb1 0.000 0.000 0.500 1
Cr1 0.000 0.500 0.000 1
Br1 0.500 0.500 0.500 1



Record 4
# KCrPbBr6 PBE relaxed
# Magnetization = 6.00 Bohr magnetons per cell
# Formation energy from raw total energies = -1.024 eV/atom
data_KCrPbBr6
_chemical_formula_sum 'K2 Cr2 Pb2 Br12'
_space_group_name_H-M_alt 'P -3 1 c'
_space_group_IT_number 163
_space_group_name_Hall '-P 3 2c'
_cell_length_a 7.3962
_cell_length_b 7.3962
_cell_length_c 13.7554
_cell_angle_alpha 90.00
_cell_angle_beta 90.00
_cell_angle_gamma 120.00
loop_
_atom_site_label
_atom_site_fract_x
_atom_site_fract_y
_atom_site_fract_z
_atom_site_occupancy
K1 0.0000 0.0000 0.0000 1
Cr1 0.3333 0.6667 0.2500 1
Pb1 0.3333 0.6667 0.7500 1
Br1 0.0522 0.3945 0.1408 1



Please write out number 4 again, unchanged.
# KCrPbBr6 PBE relaxed
# Magnetization = 6.00 Bohr magnetons per cell
# Formation energy from raw total energies = -1.024 eV/atom
data_KCrPbBr6
_chemical_formula_sum 'K2 Cr2 Pb2 Br12'
_space_group_name_H-M_alt 'P -3 1 c'
_space_group_IT_number 163
_space_group_name_Hall '-P 3 2c'
_cell_length_a 7.3962
_cell_length_b 7.3962
_cell_length_c 13.7554
_cell_angle_alpha 90.00
_cell_angle_beta 90.00
_cell_angle_gamma 120.00
loop_
_atom_site_label
_atom_site_fract_x
_atom_site_fract_y
_atom_site_fract_z
_atom_site_occupancy
K1 0.0000 0.0000 0.0000 1
Cr1 0.3333 0.6667 0.2500 1
Pb1 0.3333 0.6667 0.7500 1
Br1 0.0522 0.3945 0.1408 1



Look up the magnetization of the fourth one.
6.00 Bohr magnetons per cell



formation energy from raw total energies of number 1 (KLiCrBr6)?
-1.009 eV/atom